This record from Alexandria via LeMat-Bulk describes Nd2Fe2Si2C after structural relaxation. The functional is GGA-PBEsol.

Cell lengths 10.671, 3.963, 6.897 Å; angles 90.00, 129.15, 90.00 degrees
Element x y z (fractional)
Nd  0.060  0.000  0.299
Nd  0.440  0.500  0.701
Nd  0.560  0.500  0.299
Nd  0.940  0.000  0.701
Fe  0.197  0.500  0.089
Fe  0.303  0.000  0.911
Fe  0.697  0.000  0.089
Fe  0.803  0.500  0.911
Si  0.173  0.500  0.736
Si  0.327  0.000  0.264
Si  0.673  0.000  0.736
Si  0.827  0.500  0.264
C  0.000  0.500  0.000
C  0.500  0.000  0.000

Calculated values
The energy relative to the elements, uncorrected is -0.674 eV/atom. Its crystal system is monoclinic. As for the space-group type: C2/m (12). The calculation puts the theoretical density at 6.88 g cm⁻³. The calculation puts the density of states at the Fermi level at 2.65 states/eV/f.u.

This record from Alexandria via LeMat-Bulk describes FeNiC3 after structural relaxation. The functional is GGA-PBEsol.

Cell lengths 3.671, 3.671, 3.671 Å; angles 90.00, 90.00, 90.00 degrees
Element x y z (fractional)
Fe  0.000  0.000  0.000
Ni  0.500  0.500  0.500
C  0.000  0.500  0.500
C  0.500  0.000  0.500
C  0.500  0.500  0.000

Calculated values
Its crystal system is cubic. As for the space-group type: Pm-3m (221). As for the formation energy: 2.362 eV/atom. The calculation puts the theoretical density at 5.06 g cm⁻³. The calculation puts the density of states at the Fermi level at 4.94 states/eV/f.u.

This record from Alexandria via LeMat-Bulk describes FeNiC3 after structural relaxation. The functional is GGA-PBEsol.

Cell lengths 3.630, 3.630, 3.630 Å; angles 90.00, 90.00, 90.00 degrees
Element x y z (fractional)
Fe  0.000  0.000  0.000
Ni  0.500  0.500  0.500
C  0.000  0.000  0.500
C  0.000  0.500  0.000
C  0.500  0.000  0.000

Calculated values
Its crystal system is cubic. As for the space-group type: Pm-3m (221). As for the formation energy: 1.951 eV/atom. The calculation puts the theoretical density at 5.23 g cm⁻³. The calculation puts the density of states at the Fermi level at 2.32 states/eV/f.u.

This record from Alexandria via LeMat-Bulk describes FeC2O6 after structural relaxation. The functional is GGA-PBEsol.

Cell lengths 5.863, 5.863, 5.863 Å; angles 45.66, 45.66, 45.66 degrees
Element x y z (fractional)
Fe  0.000  0.000  0.000
C  0.268  0.268  0.268
C  0.732  0.732  0.732
O  0.002  0.231  0.565
O  0.231  0.565  0.002
O  0.435  0.998  0.769
O  0.565  0.002  0.231
O  0.769  0.435  0.998
O  0.998  0.769  0.435

Calculated values
The energy relative to the elements, uncorrected is -1.168 eV/atom. Its crystal system is trigonal. As for the space-group type: R-3 (148). The calculation puts the theoretical density at 3.11 g cm⁻³. The calculation puts the density of states at the Fermi level at 4.64 states/eV/f.u.

This record from Alexandria via LeMat-Bulk describes FeCO3 after structural relaxation. The functional is GGA-PBEsol.

Cell lengths 5.631, 5.631, 5.631 Å; angles 49.06, 49.06, 49.06 degrees
Element x y z (fractional)
Fe  0.000  0.000  0.000
Fe  0.500  0.500  0.500
C  0.250  0.250  0.250
C  0.750  0.750  0.750
O  0.027  0.750  0.473
O  0.250  0.527  0.973
O  0.473  0.027  0.750
O  0.527  0.973  0.250
O  0.750  0.473  0.027
O  0.973  0.250  0.527

Calculated values
The energy relative to the elements, uncorrected is -1.154 eV/atom. Its crystal system is trigonal. As for the space-group type: R-3c (167). The calculation puts the theoretical density at 4.11 g cm⁻³. The calculation puts the density of states at the Fermi level at 5.07 states/eV/f.u.

This record from Alexandria via LeMat-Bulk describes FeP2CO after structural relaxation. The functional is GGA-PBEsol.

Cell lengths 4.185, 4.185, 2.976 Å; angles 90.00, 90.00, 90.00 degrees
Element x y z (fractional)
Fe  0.000  0.000  0.000
P  0.000  0.500  0.500
P  0.500  0.000  0.500
C  0.500  0.500  0.500
O  0.500  0.500  0.000

Calculated values
The energy relative to the elements, uncorrected is 0.932 eV/atom. Its crystal system is tetragonal. As for the space-group type: P4/mmm (123). The calculation puts the theoretical density at 4.64 g cm⁻³. The calculation puts the density of states at the Fermi level at 5.38 states/eV/f.u.

This record from Alexandria via LeMat-Bulk describes SrFe2OsC after structural relaxation. The functional is GGA-PBEsol.

Cell lengths 4.121, 4.121, 4.064 Å; angles 90.00, 90.00, 90.00 degrees
Element x y z (fractional)
Sr  0.000  0.000  0.000
Fe  0.000  0.500  0.500
Fe  0.500  0.000  0.500
Os  0.500  0.500  0.000
C  0.500  0.500  0.500

Calculated values
Its crystal system is tetragonal. As for the space-group type: P4/mmm (123). As for the formation energy: 0.564 eV/atom. The calculation puts the theoretical density at 9.66 g cm⁻³. The calculation puts the density of states at the Fermi level at 4.55 states/eV/f.u.

This record from Alexandria via LeMat-Bulk describes FePRuC2 after structural relaxation. The functional is GGA-PBEsol.

Cell lengths 3.570, 3.570, 4.328 Å; angles 90.00, 90.00, 90.00 degrees
Element x y z (fractional)
Fe  0.000  0.000  0.000
P  0.000  0.000  0.500
Ru  0.500  0.500  0.000
C  0.000  0.500  0.500
C  0.500  0.000  0.500

Calculated values
Its crystal system is tetragonal. As for the space-group type: P4/mmm (123). As for the formation energy: 1.885 eV/atom. The calculation puts the theoretical density at 6.38 g cm⁻³. The calculation puts the density of states at the Fermi level at 3.59 states/eV/f.u.

This record from Alexandria via LeMat-Bulk describes FeTePdC2 after structural relaxation. The functional is GGA-PBEsol.

Cell lengths 3.665, 3.665, 5.248 Å; angles 90.00, 90.00, 90.00 degrees
Element x y z (fractional)
Fe  0.000  0.000  0.000
Te  0.500  0.500  0.500
Pd  0.000  0.000  0.500
C  0.000  0.500  0.000
C  0.500  0.000  0.000

Calculated values
The energy relative to the elements, uncorrected is 1.122 eV/atom. Its crystal system is tetragonal. As for the space-group type: P4/mmm (123). The calculation puts the theoretical density at 7.39 g cm⁻³. The calculation puts the density of states at the Fermi level at 2.04 states/eV/f.u.

This record from Alexandria via LeMat-Bulk describes Pr2Fe17C3 after structural relaxation. The functional is GGA-PBEsol.

Cell lengths 6.432, 6.432, 6.432 Å; angles 84.18, 84.18, 84.18 degrees
Element x y z (fractional)
Pr  0.152  0.152  0.152
Pr  0.848  0.848  0.848
Fe  0.000  0.500  0.500
Fe  0.160  0.160  0.638
Fe  0.160  0.638  0.160
Fe  0.217  0.500  0.783
Fe  0.217  0.783  0.500
Fe  0.362  0.840  0.840
Fe  0.405  0.405  0.405
Fe  0.500  0.000  0.500
Fe  0.500  0.217  0.783
Fe  0.500  0.500  0.000
Fe  0.500  0.783  0.217
Fe  0.595  0.595  0.595
Fe  0.638  0.160  0.160
Fe  0.783  0.217  0.500
Fe  0.783  0.500  0.217
Fe  0.840  0.362  0.840
Fe  0.840  0.840  0.362
C  0.000  0.000  0.500
C  0.000  0.500  0.000
C  0.500  0.000  0.000

Calculated values
Its crystal system is trigonal. As for the space-group type: R-3m (166). As for the formation energy: -0.014 eV/atom. The calculation puts the theoretical density at 8.03 g cm⁻³. The calculation puts the density of states at the Fermi level at 20.60 states/eV/f.u.

This record from Alexandria via LeMat-Bulk describes Pr2Fe2Si2C after structural relaxation. The functional is GGA-PBEsol.

Cell lengths 10.722, 3.973, 6.948 Å; angles 90.00, 128.73, 90.00 degrees
Element x y z (fractional)
Pr  0.060  0.000  0.301
Pr  0.440  0.500  0.699
Pr  0.560  0.500  0.301
Pr  0.940  0.000  0.699
Fe  0.195  0.500  0.087
Fe  0.305  0.000  0.913
Fe  0.695  0.000  0.087
Fe  0.805  0.500  0.913
Si  0.178  0.500  0.742
Si  0.322  0.000  0.258
Si  0.678  0.000  0.742
Si  0.822  0.500  0.258
C  0.000  0.500  0.000
C  0.500  0.000  0.000

Calculated values
The energy relative to the elements, uncorrected is -0.648 eV/atom. Its crystal system is monoclinic. As for the space-group type: C2/m (12). The calculation puts the theoretical density at 6.64 g cm⁻³. The calculation puts the density of states at the Fermi level at 2.47 states/eV/f.u.

This record from Alexandria via LeMat-Bulk describes FePtC2 after structural relaxation. The functional is GGA-PBEsol.

Cell lengths 4.442, 4.442, 8.838 Å; angles 90.00, 90.00, 90.00 degrees
Element x y z (fractional)
Fe  0.000  0.000  0.000
Fe  0.000  0.500  0.250
Fe  0.500  0.000  0.750
Fe  0.500  0.500  0.500
Pt  0.000  0.000  0.500
Pt  0.000  0.500  0.750
Pt  0.500  0.000  0.250
Pt  0.500  0.500  0.000
C  0.212  0.250  0.125
C  0.250  0.712  0.375
C  0.250  0.788  0.875
C  0.288  0.250  0.625
C  0.712  0.750  0.625
C  0.750  0.212  0.875
C  0.750  0.288  0.375
C  0.788  0.750  0.125

Calculated values
Its crystal system is tetragonal. As for the space-group type: I-42d (122). As for the formation energy: 0.619 eV/atom. The calculation puts the theoretical density at 10.47 g cm⁻³. The calculation puts the density of states at the Fermi level at 1.62 states/eV/f.u.

This record from Alexandria via LeMat-Bulk describes Fe3PtC after structural relaxation. The functional is GGA-PBEsol.

Cell lengths 4.599, 4.599, 4.599 Å; angles 90.00, 90.00, 90.00 degrees
Element x y z (fractional)
Fe  0.000  0.000  0.500
Fe  0.000  0.500  0.000
Fe  0.500  0.000  0.000
Pt  0.000  0.000  0.000
C  0.500  0.500  0.500

Calculated values
Its crystal system is cubic. As for the space-group type: Pm-3m (221). As for the formation energy: 2.504 eV/atom. The calculation puts the theoretical density at 6.39 g cm⁻³. The calculation puts the density of states at the Fermi level at 7.10 states/eV/f.u.

This record from Alexandria via LeMat-Bulk describes ZnFePtC2 after structural relaxation. The functional is GGA-PBEsol.

Cell lengths 3.781, 3.781, 4.834 Å; angles 90.00, 90.00, 90.00 degrees
Element x y z (fractional)
Zn  0.000  0.000  0.000
Fe  0.500  0.500  0.500
Pt  0.000  0.000  0.500
C  0.000  0.500  0.000
C  0.500  0.000  0.000

Calculated values
Its crystal system is tetragonal. As for the space-group type: P4/mmm (123). As for the formation energy: 2.307 eV/atom. The calculation puts the theoretical density at 8.18 g cm⁻³. The calculation puts the density of states at the Fermi level at 3.33 states/eV/f.u.

This record from Alexandria via LeMat-Bulk describes RbYFe2C after structural relaxation. The functional is GGA-PBEsol.

Cell lengths 5.300, 5.300, 4.528 Å; angles 90.00, 90.00, 90.00 degrees
Element x y z (fractional)
Rb  0.000  0.000  0.000
Y  0.500  0.500  0.500
Fe  0.000  0.500  0.500
Fe  0.500  0.000  0.500
C  0.500  0.500  0.000

Calculated values
Its crystal system is tetragonal. As for the space-group type: P4/mmm (123). As for the formation energy: 1.981 eV/atom. The calculation puts the theoretical density at 3.89 g cm⁻³. The calculation puts the density of states at the Fermi level at 7.05 states/eV/f.u.

This record from Alexandria via LeMat-Bulk describes FeSiRh2C after structural relaxation. The functional is GGA-PBEsol.

Cell lengths 4.013, 4.013, 3.775 Å; angles 90.00, 90.00, 90.00 degrees
Element x y z (fractional)
Fe  0.000  0.000  0.000
Si  0.500  0.500  0.000
Rh  0.000  0.500  0.500
Rh  0.500  0.000  0.500
C  0.500  0.500  0.500

Calculated values
The energy relative to the elements, uncorrected is 0.435 eV/atom. Its crystal system is tetragonal. As for the space-group type: P4/mmm (123). The calculation puts the theoretical density at 8.24 g cm⁻³. The calculation puts the density of states at the Fermi level at 6.20 states/eV/f.u.

This record from Alexandria via LeMat-Bulk describes FeTeRhC2 after structural relaxation. The functional is GGA-PBEsol.

Cell lengths 3.635, 3.635, 5.367 Å; angles 90.00, 90.00, 90.00 degrees
Element x y z (fractional)
Fe  0.000  0.000  0.000
Te  0.000  0.000  0.500
Rh  0.500  0.500  0.500
C  0.000  0.500  0.000
C  0.500  0.000  0.000

Calculated values
The energy relative to the elements, uncorrected is 1.263 eV/atom. Its crystal system is tetragonal. As for the space-group type: P4/mmm (123). The calculation puts the theoretical density at 7.27 g cm⁻³. The calculation puts the density of states at the Fermi level at 2.61 states/eV/f.u.

This record from Alexandria via LeMat-Bulk describes FeRuC2 after structural relaxation. The functional is GGA-PBEsol.

Cell lengths 5.080, 5.080, 5.080 Å; angles 90.00, 90.00, 90.00 degrees
Element x y z (fractional)
Fe  0.000  0.000  0.000
Fe  0.000  0.500  0.500
Fe  0.500  0.000  0.500
Fe  0.500  0.500  0.000
Ru  0.000  0.000  0.500
Ru  0.000  0.500  0.000
Ru  0.500  0.000  0.000
Ru  0.500  0.500  0.500
C  0.250  0.250  0.250
C  0.250  0.250  0.750
C  0.250  0.750  0.250
C  0.250  0.750  0.750
C  0.750  0.250  0.250
C  0.750  0.250  0.750
C  0.750  0.750  0.250
C  0.750  0.750  0.750

Calculated values
Its crystal system is cubic. As for the space-group type: Fm-3m (225). As for the formation energy: 0.938 eV/atom. The calculation puts the theoretical density at 9.17 g cm⁻³. The calculation puts the density of states at the Fermi level at 2.22 states/eV/f.u.

This record from Alexandria via LeMat-Bulk describes Fe2RuCS after structural relaxation. The functional is GGA-PBEsol.

Cell lengths 4.696, 4.696, 4.168 Å; angles 90.00, 90.00, 90.00 degrees
Element x y z (fractional)
Fe  0.000  0.500  0.000
Fe  0.500  0.000  0.000
Ru  0.000  0.000  0.000
C  0.500  0.500  0.500
S  0.000  0.000  0.500

Calculated values
The energy relative to the elements, uncorrected is 2.172 eV/atom. Its crystal system is tetragonal. As for the space-group type: P4/mmm (123). The calculation puts the theoretical density at 4.64 g cm⁻³. The calculation puts the density of states at the Fermi level at 5.42 states/eV/f.u.

This record from Alexandria via LeMat-Bulk describes ScFeRuC2 after structural relaxation. The functional is GGA-PBEsol.

Cell lengths 3.627, 3.627, 4.817 Å; angles 90.00, 90.00, 90.00 degrees
Element x y z (fractional)
Sc  0.000  0.000  0.000
Fe  0.000  0.000  0.500
Ru  0.500  0.500  0.000
C  0.000  0.500  0.500
C  0.500  0.000  0.500

Calculated values
Its crystal system is tetragonal. As for the space-group type: P4/mmm (123). As for the formation energy: 1.335 eV/atom. The calculation puts the theoretical density at 5.92 g cm⁻³. The calculation puts the density of states at the Fermi level at 4.96 states/eV/f.u.